Here is RbTe2OsN after structural relaxation from the Alexandria database. Energies are from PBE-GGA.

Volume, Å³/f.u.: 162.28
Uncorrected formation energy, meV/atom: 2786

Structure (CIF):
```
data_RbTe2OsN
_chemical_formula_sum 'Rb1 Te2 Os1 N1'
_cell_length_a 6.091
_cell_length_b 6.091
_cell_length_c 4.374
_cell_angle_alpha 90.00
_cell_angle_beta 90.00
_cell_angle_gamma 90.00
_symmetry_space_group_name_H-M 'P 4/m m m'
_symmetry_Int_Tables_number 123
_symmetry_space_group_name_Hall '-P 4 2'
loop_
_atom_site_label
_atom_site_type_symbol
_atom_site_fract_x
_atom_site_fract_y
_atom_site_fract_z
Rb1 Rb 0.000 0.000 0.000
Te1 Te 0.000 0.500 0.000
Os1 Os 0.500 0.500 0.500
N1 N 0.000 0.000 0.500
```